Entry 1:
{"formula": "Pr2SnIr2Rh5", "functional": "PBE", "state": "optimized geometry", "lattice_angstrom": [[-0.379, 1.496, -3.714], [7.829, -4.881, -2.766], [-5.536, -7.491, -2.452]], "species": ["Sn", "Sn", "Rh", "Rh", "Rh", "Rh", "Rh", "Rh", "Rh", "Rh", "Rh", "Rh", "Ir", "Ir", "Ir", "Ir", "Pr", "Pr", "Pr", "Pr"], "fractional_positions": [[0.000, 0.000, 0.000], [0.000, 0.500, 0.500], [0.500, 0.204, 0.066], [0.500, 0.066, 0.796], [0.500, 0.434, 0.296], [0.500, 0.000, 0.500], [0.500, 0.296, 0.566], [0.500, 0.934, 0.204], [0.500, 0.704, 0.434], [0.500, 0.500, 0.000], [0.500, 0.566, 0.704], [0.500, 0.796, 0.934], [0.000, 0.129, 0.629], [0.000, 0.371, 0.129], [0.000, 0.629, 0.871], [0.000, 0.871, 0.371], [0.000, 0.331, 0.831], [0.000, 0.669, 0.169], [0.000, 0.169, 0.331], [0.000, 0.831, 0.669]], "crystal_system": "tetragonal", "ef_ev_per_atom": -0.351, "spacegroup": "P4/mbm, No. 127"}



Entry 2:
{"formula": "Sc2Zn2GaCu5", "functional": "PBE", "state": "optimized geometry", "lattice_angstrom": [[-1.240, -3.237, -0.100], [7.737, -3.098, 4.317], [-4.119, 1.320, 8.330]], "species": ["Cu", "Cu", "Cu", "Cu", "Cu", "Cu", "Cu", "Cu", "Cu", "Cu", "Ga", "Ga", "Zn", "Zn", "Zn", "Zn", "Sc", "Sc", "Sc", "Sc"], "fractional_positions": [[0.500, 0.552, 0.697], [0.500, 0.197, 0.052], [0.500, 0.448, 0.303], [0.500, 0.803, 0.948], [0.500, 0.000, 0.500], [0.500, 0.052, 0.803], [0.500, 0.500, 0.000], [0.500, 0.303, 0.552], [0.500, 0.697, 0.448], [0.500, 0.948, 0.197], [0.000, 0.500, 0.500], [0.000, 0.000, 0.000], [0.000, 0.623, 0.877], [0.000, 0.123, 0.623], [0.000, 0.877, 0.377], [0.000, 0.377, 0.123], [0.000, 0.177, 0.323], [0.000, 0.323, 0.823], [0.000, 0.677, 0.177], [0.000, 0.823, 0.677]], "crystal_system": "tetragonal", "ef_ev_per_atom": -0.138, "spacegroup": "P4/mbm, No. 127"}



Entry 3:
{"formula": "SrLa2SbMo", "functional": "PBE", "state": "optimized geometry", "lattice_angstrom": [[-2.408, 3.817, -3.629], [-0.456, -3.437, -3.313], [-5.238, -1.319, 2.089]], "species": ["Mo", "La", "La", "Sb", "Sr"], "fractional_positions": [[0.000, 0.500, 0.000], [0.500, 0.000, 0.000], [0.000, 0.000, 0.500], [0.500, 0.500, 0.500], [0.000, 0.000, 0.000]], "e_form_raw_ev_per_atom": 1.237, "crystal_system": "tetragonal", "spacegroup": "P4/mmm, No. 123"}



Entry 4:
{"formula": "Tb2PaGe", "functional": "PBE", "state": "optimized geometry", "lattice_angstrom": [[4.477, 0.000, 0.000], [0.000, 4.682, 0.000], [0.000, 0.000, 4.682]], "species": ["Tb", "Tb", "Ge", "Pa"], "fractional_positions": [[0.000, 0.500, 0.000], [0.000, 0.000, 0.500], [0.500, 0.000, 0.000], [0.500, 0.500, 0.500]], "crystal_system": "tetragonal", "ef_ev_per_atom": -0.166, "spacegroup": "P4/mmm, No. 123"}



Entry 5:
{"formula": "TlGe2Pb", "functional": "PBE", "state": "optimized geometry", "lattice_angstrom": [[4.578, 0.054, 2.539], [2.787, 4.424, 0.278], [0.435, 2.538, 4.559]], "species": ["Pb", "Ge", "Ge", "Tl"], "fractional_positions": [[0.500, 0.500, 0.500], [0.750, 0.750, 0.750], [0.250, 0.250, 0.250], [0.000, 0.000, 0.000]], "crystal_system": "cubic", "ef_ev_per_atom": 0.299, "spacegroup": "Fm-3m, No. 225"}



Entry 6:
{"formula": "BaCrPt", "functional": "PBE", "state": "optimized geometry", "lattice_angstrom": [[6.872, -0.060, -0.229], [-0.662, 4.205, 0.092], [2.166, 2.432, 5.441]], "species": ["Ba", "Ba", "Pt", "Pt", "Cr", "Cr"], "fractional_positions": [[0.299, 0.421, 0.940], [0.700, 0.911, 0.183], [0.685, 0.197, 0.606], [0.314, 0.135, 0.516], [0.068, 0.544, 0.487], [0.931, 0.788, 0.635]], "crystal_system": "triclinic", "ef_ev_per_atom": -0.011, "spacegroup": "P-1, No. 2"}



no.,final energy (eV per atom)
1,-7.155
2,-4.009
3,-4.061
4,-6.009
5,-3.529
6,-5.874